First-principles (PBE) data for an optimized crystal structure of AcCr2H7, as listed in Alexandria.

Output
Crystal system: orthorhombic
Total DFT energy (no corrections) (eV/atom): -4.82

Cell: 5.3246 9.2053 3.7622 Å, 90.00 90.00 90.00°
Closest atoms and distances in Å follow each position.
Space group Cmmm (No. 65)
Unique sites:
1 Ac 0.0000 0.0000 0.0000  8 H 2.51
2 Cr 0.0000 0.3129 0.5000  7 H 1.72-1.88
3 H 0.0000 0.3162 0.0000  2 Cr 1.88
4 H 0.0000 0.5000 0.5000  2 Cr 1.72
5 H 0.1795 0.1483 0.5000  2 Cr 1.74-1.79, 1 H 1.91



First-principles (PBE) data for an optimized crystal structure of LiYBe2, as listed in Alexandria.

Output
Crystal system: orthorhombic
Total DFT energy (no corrections) (eV/atom): -3.80
Energy relative to the elements (meV/atom): 155.6

Cell: 4.3909 4.3967 6.2311 Å, 90.00 90.00 90.00°
Closest atoms and distances in Å follow each position.
Space group Imm2 (No. 44)
Unique sites:
1 Li 0.0000 0.0000 0.0000  4 Be 2.69-2.70, 4 Y 2.69
2 Y 0.0000 0.5000 0.7505  4 Li 2.69, 4 Be 2.69
3 Be 0.0000 0.0000 0.5008  4 Be 2.69-2.70, 4 Y 2.69
4 Be 0.0000 0.5000 0.2503  4 Be 2.69-2.70, 4 Li 2.69-2.70



- Which formula does entry 1 have?
  AcCr2H7